# 1
The following is a GGA+U calculation of a relaxed structure of AcVSnO6, from Alexandria.

The structure in POSCAR format:
```
AcVSnO6
1.0
5.3143 0.0000 0.0000
-2.6571 4.6023 0.0000
0.0000 0.0000 10.6598
Ac V Sn O
2 2 2 12
direct
0.0000 0.0000 0.0000
0.0000 0.0000 0.5000
0.3333 0.6667 0.2500
0.6667 0.3333 0.7500
0.3333 0.6667 0.7500
0.6667 0.3333 0.2500
0.0233 0.3910 0.1461
0.0233 0.6323 0.3539
0.3677 0.3910 0.3539
0.3677 0.9767 0.1461
0.3910 0.0233 0.6461
0.3910 0.3677 0.8539
0.6090 0.6323 0.1461
0.6090 0.9767 0.3539
0.6323 0.0233 0.8539
0.6323 0.6090 0.6461
0.9767 0.3677 0.6461
0.9767 0.6090 0.8539
```

# 2
The following is a GGA+U calculation of a relaxed structure of Ac2VSnO6, from Alexandria.

The structure in POSCAR format:
```
Ac2VSnO6
1.0
5.8732 0.0000 0.0000
0.0000 6.1862 0.0000
-5.8604 0.0000 8.3528
Ac V Sn O
4 2 2 12
direct
0.2351 0.0559 0.2525
0.2351 0.4441 0.7525
0.7649 0.5559 0.2475
0.7649 0.9441 0.7475
0.0000 0.0000 0.5000
0.0000 0.5000 0.0000
0.5000 0.0000 0.0000
0.5000 0.5000 0.5000
0.1065 0.2279 0.9317
0.1065 0.2721 0.4317
0.2328 0.6776 0.9533
0.2328 0.8224 0.4533
0.3247 0.0445 0.7182
0.3247 0.4555 0.2182
0.6753 0.5445 0.7818
0.6753 0.9555 0.2818
0.7672 0.1776 0.5467
0.7672 0.3224 0.0467
0.8935 0.7279 0.5683
0.8935 0.7721 0.0683
```

These records have total DFT energy (no corrections) values of -65.6 -74.2 eV/f.u., in the order they appear.